Record 1
TlCdPO: optimized geometry, PBE-GGA.

a = 4.1509 Å, b = 4.1509 Å, c = 9.1423 Å
α = 90.00°, β = 90.00°, γ = 90.00°
Closest atoms and distances in Å follow each position.
Space group P4/nmm (No. 129, origin choice 2)
Inequivalent atoms, fractional coordinates:
1 Tl 0.2500 0.2500 0.1167 [2 per cell]  4 O 2.33
2 Cd 0.2500 0.7500 0.5000 [2 per cell]  4 P 2.69, 4 Cd 2.94
3 P 0.2500 0.2500 0.6869 [2 per cell]  4 Cd 2.69
4 O 0.2500 0.7500 0.0000 [2 per cell]  4 Tl 2.33

The uncorrected energy is -3.410 eV/atom.

---

Record 2
MgNbCuPb: optimized geometry, PBE-GGA.

a = 6.7777 Å, b = 6.7777 Å, c = 6.7777 Å
α = 90.00°, β = 90.00°, γ = 90.00°
Closest atoms and distances in Å follow each position.
Space group F-43m (No. 216)
Inequivalent atoms, fractional coordinates:
1 Mg 0.0000 0.0000 0.0000 [4 per cell]  4 Nb 2.93, 4 Cu 2.93
2 Nb 0.2500 0.2500 0.2500 [4 per cell]  4 Pb 2.93, 4 Mg 2.93
3 Cu 0.2500 0.2500 0.7500 [4 per cell]  4 Pb 2.93, 4 Mg 2.93
4 Pb 0.0000 0.0000 0.5000 [4 per cell]  4 Nb 2.93, 4 Cu 2.93

The uncorrected energy is -4.261 eV/atom.

---

Record 3
PrTePO: optimized geometry, PBE-GGA.

a = 3.7332 Å, b = 6.1186 Å, c = 7.4133 Å
α = 90.00°, β = 90.00°, γ = 90.00°
Closest atoms and distances in Å follow each position.
Space group Pmc2_1 (No. 26)
Inequivalent atoms, fractional coordinates:
1 Pr 0.0000 0.0762 0.0000 [2 per cell]  2 O 2.29
2 Te 0.5000 0.4258 0.5553 [2 per cell]  4 P 2.59-2.80
3 P 0.0000 0.4369 0.3133 [2 per cell]  4 Te 2.59-2.80
4 O 0.5000 0.0377 0.8243 [2 per cell]  2 Pr 2.29

The uncorrected energy is -5.806 eV/atom.

---

Record 4
Li2MgZn2Pd2Pt: optimized geometry, PBE-GGA.

a = 4.2608 Å, b = 4.2608 Å, c = 6.5066 Å
α = 90.00°, β = 90.00°, γ = 90.00°
Closest atoms and distances in Å follow each position.
Space group P-4m2 (No. 115)
Inequivalent atoms, fractional coordinates:
1 Li 0.0000 0.5000 0.2335 [2 per cell]  2 Pt 2.62, 4 Zn 2.62-2.75, 2 Mg 2.75
2 Mg 0.0000 0.0000 0.5000 [1 per cell]  4 Pd 2.65, 4 Li 2.75
3 Zn 0.0000 0.0000 0.0000 [1 per cell]  4 Li 2.62, 4 Pd 2.72
4 Zn 0.5000 0.5000 0.5000 [1 per cell]  4 Pd 2.65, 4 Li 2.75
5 Pd 0.0000 0.5000 0.7412 [2 per cell]  2 Mg 2.65, 4 Zn 2.65-2.72, 2 Pt 2.72
6 Pt 0.5000 0.5000 0.0000 [1 per cell]  4 Li 2.62, 4 Pd 2.72

The uncorrected energy is -3.516 eV/atom.

---

Record 5
LiTl2CuSe4: optimized geometry, PBE-GGA.

a = 5.9716 Å, b = 5.9716 Å, c = 12.2241 Å
α = 90.00°, β = 90.00°, γ = 90.00°
Closest atoms and distances in Å follow each position.
Space group I-4 (No. 82)
Inequivalent atoms, fractional coordinates:
1 Li 0.0000 0.0000 0.0000 [2 per cell]  4 Se 2.56
2 Tl 0.0000 0.0000 0.5000 [2 per cell]  4 Se 2.73
3 Tl 0.0000 0.5000 0.7500 [2 per cell]  4 Se 2.73
4 Cu 0.0000 0.5000 0.2500 [2 per cell]  4 Se 2.43
5 Se 0.2147 0.2594 0.1293 [8 per cell]  1 Cu 2.43, 1 Li 2.56

The uncorrected energy is -3.470 eV/atom.

---

Record 6
GaCu2Sb: optimized geometry, PBE-GGA.

a = 6.4859 Å, b = 6.4859 Å, c = 6.4859 Å
α = 90.00°, β = 90.00°, γ = 90.00°
Closest atoms and distances in Å follow each position.
Space group Pm-3m (No. 221)
Inequivalent atoms, fractional coordinates:
1 Ga 0.0000 0.0000 0.0000 [1 per cell]  8 Cu 2.53
2 Ga 0.0000 0.0000 0.5000 [3 per cell]  8 Cu 2.73
3 Cu 0.2250 0.2250 0.2250 [8 per cell]  4 Ga 2.53-2.73
4 Sb 0.0000 0.5000 0.5000 [3 per cell]  8 Cu 2.91, 2 Sb 3.24, 4 Ga 3.24
5 Sb 0.5000 0.5000 0.5000 [1 per cell]  8 Cu 3.09, 6 Sb 3.24

The uncorrected energy is -3.483 eV/atom.

---

Record 7
ZrSnNO: optimized geometry, PBE-GGA.

a = 4.4429 Å, b = 4.4429 Å, c = 6.9517 Å
α = 90.00°, β = 90.00°, γ = 90.00°
Closest atoms and distances in Å follow each position.
Space group P4/nmm (No. 129, origin choice 2)
Inequivalent atoms, fractional coordinates:
1 Zr 0.2500 0.2500 0.0537 [2 per cell]  1 N 1.96
2 Sn 0.2500 0.7500 0.5000 [2 per cell]  4 N 2.50
3 N 0.2500 0.2500 0.3357 [2 per cell]  1 Zr 1.96
4 O 0.2500 0.7500 0.0000 [2 per cell]  4 Zr 2.25

The uncorrected energy is -7.421 eV/atom.

---

Record 8
NaAcEr: optimized geometry, PBE-GGA.

a = 8.0438 Å, b = 8.0438 Å, c = 8.0438 Å
α = 90.00°, β = 90.00°, γ = 90.00°
Closest atoms and distances in Å follow each position.
Space group F-43m (No. 216)
Inequivalent atoms, fractional coordinates:
1 Na 0.0000 0.0000 0.0000 [4 per cell]  4 Ac 3.48
2 Ac 0.2500 0.2500 0.7500 [4 per cell]  4 Na 3.48, 4 Er 3.48
3 Er 0.0000 0.0000 0.5000 [4 per cell]  4 Ac 3.48

The uncorrected energy is -2.363 eV/atom.

---

Record 9
GaCuAgMo: optimized geometry, PBE-GGA.

a = 6.2785 Å, b = 6.2785 Å, c = 6.2785 Å
α = 90.00°, β = 90.00°, γ = 90.00°
Closest atoms and distances in Å follow each position.
Space group F-43m (No. 216)
Inequivalent atoms, fractional coordinates:
1 Ga 0.0000 0.0000 0.0000 [4 per cell]  4 Mo 2.72, 4 Cu 2.72
2 Cu 0.2500 0.2500 0.2500 [4 per cell]  4 Ga 2.72, 4 Ag 2.72
3 Ag 0.0000 0.0000 0.5000 [4 per cell]  4 Mo 2.72, 4 Cu 2.72
4 Mo 0.2500 0.2500 0.7500 [4 per cell]  4 Ga 2.72, 4 Ag 2.72

The uncorrected energy is -4.737 eV/atom.

---

Record 10
HoErCI: optimized geometry, PBE-GGA.

a = 3.7420 Å, b = 3.7420 Å, c = 22.0389 Å
α = 90.00°, β = 90.00°, γ = 120.00°
Closest atoms and distances in Å follow each position.
Space group R3m (No. 160, hexagonal axes)
Inequivalent atoms, fractional coordinates:
1 Ho 0.0000 0.0000 0.0000 [3 per cell]  3 C 2.49
2 Er 0.0000 0.0000 0.4448 [3 per cell]  3 C 2.48
3 C 0.0000 0.0000 0.7228 [3 per cell]  3 Er 2.48, 3 Ho 2.49
4 I 0.0000 0.0000 0.2224 [3 per cell]  3 Er 3.26, 3 Ho 3.26

The uncorrected energy is -5.719 eV/atom.

---

Record 11
AgPPd5: optimized geometry, PBE-GGA.

a = 3.9672 Å, b = 3.9672 Å, c = 6.9832 Å
α = 90.00°, β = 90.00°, γ = 90.00°
Closest atoms and distances in Å follow each position.
Space group P4/mmm (No. 123)
Inequivalent atoms, fractional coordinates:
1 Ag 0.0000 0.0000 0.0000 [1 per cell]  12 Pd 2.81-2.88
2 P 0.5000 0.5000 0.5000 [1 per cell]  8 Pd 2.43
3 Pd 0.0000 0.5000 0.2996 [4 per cell]  2 P 2.43
4 Pd 0.5000 0.5000 0.0000 [1 per cell]  4 Ag 2.81, 8 Pd 2.88

The uncorrected energy is -5.178 eV/atom.

---

Record 12
ErAgPt: optimized geometry, PBE-GGA.

a = 6.5308 Å, b = 6.5308 Å, c = 6.5308 Å
α = 90.00°, β = 90.00°, γ = 90.00°
Closest atoms and distances in Å follow each position.
Space group F-43m (No. 216)
Inequivalent atoms, fractional coordinates:
1 Er 0.0000 0.0000 0.0000 [4 per cell]  4 Pt 2.83
2 Ag 0.0000 0.0000 0.5000 [4 per cell]  4 Pt 2.83
3 Pt 0.2500 0.2500 0.7500 [4 per cell]  4 Er 2.83, 4 Ag 2.83

Its formation energy is -66 kJ per mole of atoms.